A plane-wave DFT calculation with PBE was carried out for a relaxed structure of Sr5Sc.

Mass density = 2.8 g/cm3
E_tot = -2.320 eV/atom
M_tot = 0.004 μB per cell
Formation enthalpy at 0 K = 13.2 kJ/mol of atoms

Cell: 4.204 4.204 16.092 Å, 90.00 90.00 90.00°
Fractional positions:
Sr 0.000 0.000 0.129
Sr 0.000 0.000 0.500
Sr 0.500 0.500 0.689
Sr 0.000 0.000 0.871
Sr 0.500 0.500 0.311
Sc 0.500 0.500 0.000

A plane-wave DFT calculation with PBE was carried out for a relaxed structure of LiCd3Au3.

Mass density = 11.2 g/cm3
E_tot = -2.292 eV/atom
M_tot = 0.000 μB per cell
Formation enthalpy at 0 K = -21.4 kJ/mol of atoms

Cell: 5.990 5.990 7.789 Å, 90.00 90.00 98.22°
Fractional positions:
Cd 0.228 0.772 0.500
Cd 0.704 0.704 0.500
Cd 0.694 0.694 0.000
Cd 0.296 0.296 0.500
Cd 0.772 0.228 0.500
Cd 0.306 0.306 0.000
Au 0.500 0.000 0.769
Au 0.500 0.000 0.231
Au 0.000 0.500 0.769
Au 0.000 0.000 0.235
Au 0.000 0.000 0.765
Au 0.000 0.500 0.231
Li 0.222 0.778 0.000
Li 0.778 0.222 0.000